First-principles (PBE) data for a geometry-optimized MnAlCu2 structure, as listed in Alexandria via LeMat-Bulk.

Computed properties:
E_form	0.100	eV per atom

abc: 8.494 8.494 8.494
angles: 18.42 18.42 18.42
Site moments in Bohr magnetons follow the coordinates.
Element x y z (fractional)
Al: 0.750 0.750 0.750  0.00
Cu: 0.001 0.001 0.001  0.06
Cu: 0.499 0.499 0.499  0.06
Mn: 0.250 0.250 0.250  3.30

***

First-principles (PBE) data for a geometry-optimized Nd15Dy4Al structure, as listed in Alexandria via LeMat-Bulk.

Computed properties:
E_form	-0.013	eV per atom

abc: 5.093 5.093 25.691
angles: 90.00 90.00 90.00
Element x y z (fractional)
Nd: 0.000 0.500 0.906
Nd: 0.500 0.000 0.094
Nd: 0.500 0.000 0.500
Nd: 0.500 0.000 0.297
Nd: 0.500 0.500 0.602
Nd: 0.000 0.500 0.094
Nd: 0.500 0.500 0.805
Nd: 0.500 0.500 0.195
Nd: 0.500 0.500 0.000
Nd: 0.500 0.000 0.703
Nd: 0.500 0.000 0.906
Nd: 0.500 0.500 0.398
Nd: 0.000 0.500 0.703
Nd: 0.000 0.500 0.297
Nd: 0.000 0.500 0.500
Dy: 0.000 0.000 0.601
Dy: 0.000 0.000 0.804
Dy: 0.000 0.000 0.196
Dy: 0.000 0.000 0.399
Al: 0.000 0.000 0.000

***

First-principles (PBE) data for a geometry-optimized Bi2WCl structure, as listed in Alexandria via LeMat-Bulk.

Computed properties:
raw formation energy	317	kJ/mol of formula units
energy above the most stable polymorph in this dataset	0	meV per atom

abc: 6.717 6.717 8.046
angles: 65.33 65.33 90.00
Element x y z (fractional)
Cl: 0.250 0.750 0.500
Cl: 0.500 0.500 0.000
W: 0.750 0.250 0.500
W: 0.000 0.000 0.000
Bi: 0.686 0.125 0.250
Bi: 0.375 0.314 0.750
Bi: 0.064 0.625 0.250
Bi: 0.875 0.936 0.750

***

First-principles (PBE) data for a geometry-optimized CrRe2Hg structure, as listed in Alexandria via LeMat-Bulk.

Computed properties:
E_form	0.559	eV per atom

abc: 2.738 2.738 9.121
angles: 90.00 90.00 111.61
Element x y z (fractional)
Re: 0.500 0.500 0.264
Re: 0.000 0.000 0.024
Cr: 0.000 0.000 0.475
Hg: 0.500 0.500 0.738

***

First-principles (PBE) data for a geometry-optimized SmCuGeTe3 structure, as listed in Alexandria via LeMat-Bulk.

Computed properties:
raw formation energy	-364	kJ/mol of formula units

abc: 4.168 8.797 9.329
angles: 99.81 90.00 90.00
Element x y z (fractional)
Te: 0.250 0.589 0.838
Te: 0.750 0.411 0.162
Te: 0.250 0.762 0.489
Te: 0.750 0.893 0.132
Te: 0.750 0.238 0.511
Te: 0.250 0.107 0.868
Sm: 0.750 0.839 0.753
Sm: 0.250 0.161 0.247
Ge: 0.750 0.346 0.854
Ge: 0.250 0.654 0.146
Cu: 0.750 0.935 0.428
Cu: 0.250 0.065 0.572

***

First-principles (PBE) data for a geometry-optimized RbTcSb2I structure, as listed in Alexandria via LeMat-Bulk.

Computed properties:
raw formation energy	-14	kJ/mol of formula units
energy above the most stable polymorph in this dataset	0	meV per atom

abc: 5.142 5.142 6.384
angles: 90.00 90.00 90.00
Element x y z (fractional)
Rb: 0.500 0.500 0.500
Sb: 0.500 0.000 0.000
Sb: 0.000 0.500 0.000
I: 0.000 0.000 0.500
Tc: 0.000 0.000 0.000

***

Looking at spin magnetization for the records above, in order, we have 3.6, 0.0, 0.0, 0.0, 0.0, 0.0 μB per formula unit.